#one
Density functional theory data (PBE) for BaTiAl3 after structural relaxation.

Cell lengths 5.1418, 5.1418, 5.1418 Å; angles 90.00, 90.00, 90.00 degrees
Element x y z (fractional)
Al 0.0000 0.5000 0.0000
Al 0.0000 0.0000 0.5000
Al 0.5000 0.0000 0.0000
Ba 0.5000 0.5000 0.5000
Ti 0.0000 0.0000 0.0000

#two
Density functional theory data (PBE) for BaTiAl3 after structural relaxation.

Cell lengths 5.5198, 5.5198, 5.5198 Å; angles 90.00, 90.00, 90.00 degrees
Element x y z (fractional)
Al 0.0000 0.5000 0.0000
Al 0.0000 0.0000 0.5000
Al 0.5000 0.0000 0.0000
Ba 0.0000 0.0000 0.0000
Ti 0.5000 0.5000 0.5000

It is #two that is the least stable of them.

#one
Density functional theory data (PBE) for Ba4AlTl after structural relaxation.

Cell lengths 7.2565, 7.2565, 7.2565 Å; angles 60.00, 60.00, 60.00 degrees
Element x y z (fractional)
Ba 0.8759 0.3747 0.3747
Ba 0.3747 0.3747 0.8759
Ba 0.3747 0.8759 0.3747
Ba 0.3747 0.3747 0.3747
Al 0.0000 0.0000 0.0000
Tl 0.7500 0.7500 0.7500

#two
Density functional theory data (PBE) for Ba4AlTl after structural relaxation.

Cell lengths 4.3017, 4.3017, 15.0950 Å; angles 90.00, 90.00, 90.00 degrees
Element x y z (fractional)
Ba 0.5000 0.5000 0.8748
Ba 0.5000 0.5000 0.1252
Ba 0.0000 0.0000 0.6342
Ba 0.0000 0.0000 0.3658
Al 0.0000 0.0000 0.0000
Tl 0.5000 0.5000 0.5000

It is #one that is the least stable of them.

#one
Density functional theory data (PBE) for Ba3AlTl after structural relaxation.

Cell lengths 6.5273, 6.5273, 6.5273 Å; angles 90.00, 90.00, 90.00 degrees
Element x y z (fractional)
Tl 0.5000 0.5000 0.5000
Ba 0.0000 0.5000 0.0000
Ba 0.0000 0.0000 0.5000
Ba 0.5000 0.0000 0.0000
Al 0.0000 0.0000 0.0000

#two
Density functional theory data (PBE) for Ba3AlTl after structural relaxation.

Cell lengths 4.5635, 8.0135, 13.0412 Å; angles 98.30, 100.08, 90.00 degrees
Element x y z (fractional)
Ba 0.9894 0.2538 0.9787
Ba 0.0106 0.7462 0.0213
Ba 0.3596 0.8894 0.7192
Ba 0.6404 0.1106 0.2808
Ba 0.1856 0.6318 0.3711
Ba 0.8144 0.3682 0.6289
Al 0.7584 0.9226 0.5168
Al 0.2416 0.0774 0.4832
Tl 0.5768 0.5112 0.1537
Tl 0.4232 0.4888 0.8463

It is #one that is the least stable of them.

#one
Density functional theory data (PBE) for BaAl2W after structural relaxation.

Cell lengths 7.7456, 5.4033, 2.9539 Å; angles 93.20, 62.66, 126.24 degrees
Element x y z (fractional)
Ba 0.0000 0.5000 0.5000
W 0.5000 0.5000 0.0000
Al 0.0000 0.0000 0.0000
Al 0.5000 0.0000 0.5000

#two
Density functional theory data (PBE) for BaAl2W after structural relaxation.

Cell lengths 4.7573, 4.7573, 6.9742 Å; angles 83.82, 83.82, 36.74 degrees
Element x y z (fractional)
Ba 0.7500 0.7500 0.7500
W 0.2500 0.2500 0.2500
Al 0.9849 0.9849 0.0903
Al 0.5151 0.5151 0.4097

#three
Density functional theory data (PBE) for BaAl2W after structural relaxation.

Cell lengths 10.4798, 10.4798, 10.4798 Å; angles 16.99, 16.99, 16.99 degrees
Element x y z (fractional)
Ba 0.2500 0.2500 0.2500
W 0.7500 0.7500 0.7500
Al 0.0158 0.0158 0.0158
Al 0.4842 0.4842 0.4842

It is #one that is the least stable of them.

#one
Density functional theory data (PBE) for BaAl2W after structural relaxation.

Cell lengths 3.0273, 5.5778, 5.2504 Å; angles 90.00, 90.00, 90.00 degrees
Element x y z (fractional)
Ba 0.5000 0.0000 0.5000
W 0.0000 0.5000 0.5000
Al 0.0000 0.0000 0.0000
Al 0.5000 0.5000 0.0000

#two
Density functional theory data (PBE) for BaAl2W after structural relaxation.

Cell lengths 10.6686, 10.6686, 10.6686 Å; angles 16.50, 16.50, 16.50 degrees
Element x y z (fractional)
Ba 0.4993 0.4993 0.4993
W 0.7350 0.7350 0.7350
Al 0.0020 0.0020 0.0020
Al 0.2637 0.2637 0.2637

#three
Density functional theory data (PBE) for BaAl2W after structural relaxation.

Cell lengths 5.0237, 5.0237, 5.0237 Å; angles 60.00, 60.00, 60.00 degrees
Element x y z (fractional)
Ba 0.0000 0.0000 0.0000
W 0.5000 0.5000 0.5000
Al 0.2500 0.2500 0.2500
Al 0.7500 0.7500 0.7500

It is #one that is the least stable of them.

#one
Density functional theory data (PBE) for BaAl2W after structural relaxation.

Cell lengths 4.9086, 4.9086, 7.0101 Å; angles 82.05, 82.05, 35.31 degrees
Element x y z (fractional)
Ba 0.4881 0.4881 0.4975
W 0.2703 0.2703 0.1341
Al 0.0064 0.0064 0.0364
Al 0.7352 0.7352 0.8321

#two
Density functional theory data (PBE) for BaAl2W after structural relaxation.

Cell lengths 2.9740, 2.9740, 9.7156 Å; angles 90.00, 90.00, 90.04 degrees
Element x y z (fractional)
Ba 0.0000 0.0000 0.5049
W 0.5000 0.5000 0.8047
Al 0.0000 0.0000 0.9937
Al 0.5000 0.5000 0.1967

#three
Density functional theory data (PBE) for BaAl2W after structural relaxation.

Cell lengths 3.3453, 3.3453, 7.9527 Å; angles 90.00, 90.00, 89.98 degrees
Element x y z (fractional)
Ba 0.5000 0.5000 0.2500
W 0.5000 0.5000 0.7500
Al 0.0000 0.0000 0.9165
Al 0.0000 0.0000 0.5835

It is #two that is the least stable of them.

#one
Density functional theory data (PBE) for BaAl2W after structural relaxation.

Cell lengths 5.3987, 5.3987, 2.8892 Å; angles 90.00, 90.00, 90.00 degrees
Element x y z (fractional)
Ba 0.5000 0.0000 0.5000
W 0.0000 0.5000 0.5000
Al 0.0000 0.0000 0.0000
Al 0.5000 0.5000 0.0000

#two
Density functional theory data (PBE) for BaAl2W after structural relaxation.

Cell lengths 4.5169, 6.5548, 4.4981 Å; angles 110.09, 120.01, 90.08 degrees
Element x y z (fractional)
Ba 0.5013 0.5038 0.0018
W 0.6884 0.0658 0.3774
Al 0.9989 0.9954 0.9974
Al 0.3114 0.9351 0.6235

#three
Density functional theory data (PBE) for BaAl2W after structural relaxation.

Cell lengths 3.5464, 3.5464, 7.8265 Å; angles 90.00, 90.00, 90.00 degrees
Element x y z (fractional)
Ba 0.0000 0.0000 0.5242
W 0.5000 0.5000 0.8517
Al 0.0000 0.0000 0.9478
Al 0.5000 0.5000 0.1763

#four
Density functional theory data (PBE) for BaAl2W after structural relaxation.

Cell lengths 4.6058, 4.4326, 4.4326 Å; angles 90.00, 90.00, 90.00 degrees
Element x y z (fractional)
Ba 0.5000 0.5000 0.0000
W 0.5000 0.0000 0.5000
Al 0.0000 0.0000 0.0000
Al 0.0000 0.5000 0.5000

It is #four that is the least stable of them.

#one
Density functional theory data (PBE) for BaAl2W after structural relaxation.

Cell lengths 5.2832, 5.2832, 5.2832 Å; angles 132.46, 125.40, 75.26 degrees
Element x y z (fractional)
Ba 0.7500 0.2500 0.5000
W 0.2500 0.7500 0.5000
Al 0.0163 0.0163 0.0000
Al 0.4837 0.4837 0.0000

#two
Density functional theory data (PBE) for BaAl2W after structural relaxation.

Cell lengths 4.4281, 2.9869, 7.2933 Å; angles 89.98, 90.00, 90.00 degrees
Element x y z (fractional)
Ba 0.0000 0.6255 0.5024
W 0.5000 0.6250 0.8830
Al 0.0000 0.1246 0.9311
Al 0.5000 0.1250 0.1835

#three
Density functional theory data (PBE) for BaAl2W after structural relaxation.

Cell lengths 7.9347, 7.9347, 7.9347 Å; angles 158.20, 147.07, 39.85 degrees
Element x y z (fractional)
Ba 0.4411 0.4411 0.0000
W 0.2321 0.7321 0.5000
Al 0.0889 0.0889 0.0000
Al 0.7379 0.2379 0.5000

#four
Density functional theory data (PBE) for BaAl2W after structural relaxation.

Cell lengths 5.2649, 5.2649, 9.6102 Å; angles 74.10, 74.10, 90.00 degrees
Element x y z (fractional)
Ba 0.5000 0.5000 0.0000
Ba 0.2500 0.7500 0.5000
W 0.0000 0.0000 0.0000
W 0.7500 0.2500 0.5000
Al 0.8746 0.1250 0.2500
Al 0.8754 0.6250 0.2500
Al 0.3750 0.1254 0.7500
Al 0.8750 0.1246 0.7500

It is #one that is the least stable of them.

#one
Density functional theory data (PBE) for BaAl3W after structural relaxation.

Cell lengths 5.3157, 5.3157, 5.3157 Å; angles 90.00, 90.00, 90.00 degrees
Element x y z (fractional)
Ba 0.0000 0.0000 0.0000
W 0.5000 0.5000 0.5000
Al 0.0000 0.5000 0.0000
Al 0.0000 0.0000 0.5000
Al 0.5000 0.0000 0.0000

#two
Density functional theory data (PBE) for BaAl3W after structural relaxation.

Cell lengths 5.0332, 5.0332, 5.0332 Å; angles 90.00, 90.00, 90.00 degrees
Element x y z (fractional)
Ba 0.5000 0.5000 0.5000
W 0.0000 0.0000 0.0000
Al 0.0000 0.5000 0.0000
Al 0.0000 0.0000 0.5000
Al 0.5000 0.0000 0.0000

It is #one that is the least stable of them.

#one
Density functional theory data (PBE) for BaAlW after structural relaxation.

Cell lengths 3.0879, 3.0879, 8.2984 Å; angles 90.00, 90.00, 120.00 degrees
Element x y z (fractional)
Ba 0.6667 0.3333 0.3357
W 0.3333 0.6667 0.7041
Al 0.0000 0.0000 0.9601

#two
Density functional theory data (PBE) for BaAlW after structural relaxation.

Cell lengths 6.5616, 6.5616, 6.5616 Å; angles 148.19, 148.19, 45.61 degrees
Element x y z (fractional)
Ba 0.6739 0.6739 0.0000
W 0.3897 0.3897 0.0000
Al 0.9364 0.9364 0.0000

It is #one that is the least stable of them.

#one
Density functional theory data (PBE) for Ba2AlW2 after structural relaxation.

Cell lengths 7.1276, 7.1276, 5.4117 Å; angles 90.00, 90.00, 90.00 degrees
Element x y z (fractional)
Ba 0.1851 0.6851 0.5000
Ba 0.6851 0.8149 0.5000
Ba 0.8149 0.3149 0.5000
Ba 0.3149 0.1851 0.5000
W 0.3821 0.8821 0.0000
W 0.8821 0.6179 0.0000
W 0.6179 0.1179 0.0000
W 0.1179 0.3821 0.0000
Al 0.0000 0.0000 0.0000
Al 0.5000 0.5000 0.0000

#two
Density functional theory data (PBE) for Ba2AlW2 after structural relaxation.

Cell lengths 4.6579, 4.6579, 7.8255 Å; angles 72.69, 72.69, 90.00 degrees
Element x y z (fractional)
Ba 0.7500 0.2500 0.5000
Ba 0.2500 0.7500 0.5000
W 0.4249 0.4249 0.1502
W 0.5751 0.5751 0.8498
Al 0.0000 0.0000 0.0000

It is #two that is the least stable of them.